# 1
DFT (PBE-GGA) results for a geometry-optimized InTe2Au structure.

Cell and atoms, written as POSCAR:
```
InTe2Au
1.0
3.7571 0.0000 0.0000
0.0000 3.7571 0.0000
0.0000 0.0000 7.5228
In Te Au
1 2 1
direct
0.0000 0.0000 0.0000 In
0.5000 0.5000 0.2878 Te
0.5000 0.5000 0.7122 Te
0.0000 0.0000 0.5000 Au
```

Calculated values
symmetry: P4/mmm (123)
theoretical density: 8.9 g cm⁻³
M_tot: 0.00 μB/f.u.
energy: -2.90 eV per atom


# 2
DFT (PBE-GGA) results for a geometry-optimized In2TeAu structure.

Cell and atoms, written as POSCAR:
```
In2TeAu
1.0
-2.0326 3.0992 4.3849
2.0326 -3.0992 4.3849
2.0326 3.0992 -4.3849
In Te Au
2 1 1
direct
0.0000 0.0000 0.0000 In
0.7246 0.2246 0.5000 In
0.2787 0.7787 0.5000 Te
0.5053 0.5053 0.0000 Au
```

Calculated values
symmetry: Imm2 (44)
theoretical density: 8.3 g cm⁻³
M_tot: 0.00 μB/f.u.
energy: -3.01 eV per atom